A plane-wave DFT calculation with GGA-PBE was carried out for an optimized crystal structure of Tb3Dy6YTh2.

Lattice parameters (Å, degrees): 6.1675 10.6729 11.7733 90.00 100.07 90.00
Last column: nearest neighbours and their distance in Å.
Space group C2/m (No. 12)
Symmetry-distinct sites (fractional):
1 Tb 0.0000 0.0000 0.0000 [2 per cell]  6 Dy 3.56-3.58, 6 Tb 3.56
2 Tb 0.0000 0.3336 0.0000 [4 per cell]  6 Tb 3.55-3.56, 6 Dy 3.56-3.58
3 Dy 0.2455 0.0000 0.7483 [4 per cell]  2 Th 3.53, 6 Dy 3.54-3.61, 1 Y 3.55, 3 Tb 3.56-3.57
4 Dy 0.2481 0.1687 0.2520 [8 per cell]  2 Th 3.53, 6 Dy 3.54-3.61, 1 Y 3.55, 3 Tb 3.56-3.58
5 Y 0.0000 0.5000 0.5000 [2 per cell]  6 Dy 3.55, 6 Th 3.56
6 Th 0.0000 0.1667 0.5000 [4 per cell]  6 Dy 3.53, 3 Y 3.56, 3 Th 3.56

Values from the calculation:
For the calculated formation energy, the calculation gives 24 meV per atom. As for the crystal system: monoclinic. The calculation puts the size of the total moment at 0.0 μB/cell. As for the total energy: -125.039 eV/cell.